Here is a geometry-optimized TbPm2Tm6Sc3 structure from Alexandria. Energies are from PBE.

The structure in CIF format:
```
data_TbPm2Tm6Sc3
_chemical_formula_sum 'Tb2 Pm4 Tm12 Sc6'
_symmetry_space_group_name_H-M 'C 1 2/m 1'
_symmetry_Int_Tables_number 12
_symmetry_space_group_name_Hall '-C 2y'
_cell_length_a 6.023
_cell_length_b 10.429
_cell_length_c 11.420
_cell_angle_alpha 90.00
_cell_angle_beta 100.12
_cell_angle_gamma 90.00
loop_
_atom_site_label
_atom_site_fract_x
_atom_site_fract_y
_atom_site_fract_z
Tb1 0.000 0.000 0.000
Pm1 0.000 0.333 0.000
Tm1 0.246 0.000 0.739
Tm2 0.246 0.333 0.739
Sc1 0.000 0.166 0.500
Sc2 0.000 0.500 0.500
```

Values from the calculation:
Calculated volume   29.43 Å³ per atom
Formation energy from the elements   0.045 eV per atom
Total energy   -4.9509 eV/atom



Here is a geometry-optimized TbPmTm2Sc2 structure from Alexandria. Energies are from PBE.

The structure in CIF format:
```
data_TbPmTm2Sc2
_chemical_formula_sum 'Tb2 Pm2 Tm4 Sc4'
_symmetry_space_group_name_H-M 'P n n m'
_symmetry_Int_Tables_number 58
_symmetry_space_group_name_Hall '-P 2 2n'
_cell_length_a 6.726
_cell_length_b 9.489
_cell_length_c 5.469
_cell_angle_alpha 90.00
_cell_angle_beta 90.00
_cell_angle_gamma 90.00
loop_
_atom_site_label
_atom_site_fract_x
_atom_site_fract_y
_atom_site_fract_z
Tb1 0.000 0.000 0.000
Pm1 0.000 0.500 0.500
Tm1 0.249 0.167 0.500
Sc1 0.250 0.333 0.000
```

Values from the calculation:
Calculated volume   29.09 Å³ per atom
Formation energy from the elements   0.078 eV per atom
Total energy   -5.0867 eV/atom



Here is a geometry-optimized TbPmTmSc structure from Alexandria. Energies are from PBE.

The structure in CIF format:
```
data_TbPmTmSc
_chemical_formula_sum 'Tb2 Pm2 Tm2 Sc2'
_symmetry_space_group_name_H-M 'C 1 m 1'
_symmetry_Int_Tables_number 8
_symmetry_space_group_name_Hall 'C -2y'
_cell_length_a 12.074
_cell_length_b 5.617
_cell_length_c 3.769
_cell_angle_alpha 90.00
_cell_angle_beta 108.15
_cell_angle_gamma 90.00
loop_
_atom_site_label
_atom_site_fract_x
_atom_site_fract_y
_atom_site_fract_z
Tb1 0.000 0.000 0.000
Pm1 0.272 0.000 0.775
Tm1 0.038 0.500 0.538
Sc1 0.267 0.500 0.268
```

Values from the calculation:
Energy above the most stable polymorph in this dataset   0.0 kJ/mol of formula units
Calculated volume   30.36 Å³ per atom
Formation energy from the elements   0.094 eV per atom
Total energy   -4.9515 eV/atom



Here is a geometry-optimized TbPm2Tm4Sc structure from Alexandria. Energies are from PBE.

The structure in CIF format:
```
data_TbPm2Tm4Sc
_chemical_formula_sum 'Tb1 Pm2 Tm4 Sc1'
_symmetry_space_group_name_H-M 'P 4/m m m'
_symmetry_Int_Tables_number 123
_symmetry_space_group_name_Hall '-P 4 2'
_cell_length_a 4.978
_cell_length_b 4.978
_cell_length_c 9.875
_cell_angle_alpha 90.00
_cell_angle_beta 90.00
_cell_angle_gamma 90.00
loop_
_atom_site_label
_atom_site_fract_x
_atom_site_fract_y
_atom_site_fract_z
Tb1 0.000 0.000 0.000
Pm1 0.000 0.000 0.500
Pm2 0.500 0.500 0.000
Tm1 0.000 0.500 0.255
Sc1 0.500 0.500 0.500
```

Values from the calculation:
Calculated volume   30.58 Å³ per atom
Formation energy from the elements   0.036 eV per atom
Total energy   -4.7576 eV/atom



Here is a geometry-optimized TbPm2Tm5Sc structure from Alexandria. Energies are from PBE.

The structure in CIF format:
```
data_TbPm2Tm5Sc
_chemical_formula_sum 'Tb4 Pm8 Tm20 Sc4'
_symmetry_space_group_name_H-M 'I 4/m c m'
_symmetry_Int_Tables_number 140
_symmetry_space_group_name_Hall '-I 4 2c'
_cell_length_a 8.497
_cell_length_b 8.497
_cell_length_c 15.347
_cell_angle_alpha 90.00
_cell_angle_beta 90.00
_cell_angle_gamma 90.00
loop_
_atom_site_label
_atom_site_fract_x
_atom_site_fract_y
_atom_site_fract_z
Tb1 0.000 0.000 0.250
Pm1 0.119 0.381 0.000
Tm1 0.000 0.000 0.000
Tm2 0.208 0.292 0.358
Sc1 0.000 0.500 0.250
```

Values from the calculation:
Calculated volume   30.78 Å³ per atom
Formation energy from the elements   0.277 eV per atom
Total energy   -4.4807 eV/atom



Here is a geometry-optimized Tb2Pm3Tm6Sc structure from Alexandria. Energies are from PBE.

The structure in CIF format:
```
data_Tb2Pm3Tm6Sc
_chemical_formula_sum 'Tb4 Pm6 Tm12 Sc2'
_symmetry_space_group_name_H-M 'C 1 2/m 1'
_symmetry_Int_Tables_number 12
_symmetry_space_group_name_Hall '-C 2y'
_cell_length_a 6.108
_cell_length_b 10.575
_cell_length_c 11.634
_cell_angle_alpha 90.00
_cell_angle_beta 100.07
_cell_angle_gamma 90.00
loop_
_atom_site_label
_atom_site_fract_x
_atom_site_fract_y
_atom_site_fract_z
Tb1 0.000 0.166 0.000
Pm1 0.000 0.000 0.500
Pm2 0.000 0.333 0.500
Tm1 0.247 0.335 0.245
Tm2 0.250 0.000 0.246
Sc1 0.000 0.500 0.000
```

Values from the calculation:
Calculated volume   30.83 Å³ per atom
Formation energy from the elements   0.030 eV per atom
Total energy   -4.6924 eV/atom



Here is a geometry-optimized Tb5PmTm2Sc structure from Alexandria. Energies are from PBE.

The structure in CIF format:
```
data_Tb5PmTm2Sc
_chemical_formula_sum 'Tb20 Pm4 Tm8 Sc4'
_symmetry_space_group_name_H-M 'C m c 21'
_symmetry_Int_Tables_number 36
_symmetry_space_group_name_Hall 'C 2c -2'
_cell_length_a 5.551
_cell_length_b 19.765
_cell_length_c 10.373
_cell_angle_alpha 90.00
_cell_angle_beta 90.00
_cell_angle_gamma 90.00
loop_
_atom_site_label
_atom_site_fract_x
_atom_site_fract_y
_atom_site_fract_z
Tb1 0.000 0.018 0.000
Tb2 0.000 0.277 0.303
Tb3 0.000 0.299 0.687
Tb4 0.000 0.377 0.002
Tb5 0.000 0.481 0.721
Pm1 0.000 0.412 0.435
Tm1 0.000 0.112 0.294
Tm2 0.000 0.114 0.718
Sc1 0.000 0.195 0.996
```

Values from the calculation:
Calculated volume   31.61 Å³ per atom
Formation energy from the elements   0.171 eV per atom
Total energy   -4.6264 eV/atom



Here is a geometry-optimized Tb5PmTmSc2 structure from Alexandria. Energies are from PBE.

The structure in CIF format:
```
data_Tb5PmTmSc2
_chemical_formula_sum 'Tb20 Pm4 Tm4 Sc8'
_symmetry_space_group_name_H-M 'C m c 21'
_symmetry_Int_Tables_number 36
_symmetry_space_group_name_Hall 'C 2c -2'
_cell_length_a 5.602
_cell_length_b 21.508
_cell_length_c 9.338
_cell_angle_alpha 90.00
_cell_angle_beta 90.00
_cell_angle_gamma 90.00
loop_
_atom_site_label
_atom_site_fract_x
_atom_site_fract_y
_atom_site_fract_z
Tb1 0.000 0.010 0.000
Tb2 0.000 0.266 0.321
Tb3 0.000 0.307 0.706
Tb4 0.000 0.392 0.036
Tb5 0.000 0.468 0.736
Pm1 0.000 0.184 0.006
Tm1 0.000 0.402 0.408
Sc1 0.000 0.113 0.314
Sc2 0.000 0.135 0.690
```

Values from the calculation:
Calculated volume   31.26 Å³ per atom
Formation energy from the elements   0.166 eV per atom
Total energy   -4.8377 eV/atom



Here is a geometry-optimized Tb2PmTm6Sc3 structure from Alexandria. Energies are from PBE.

The structure in CIF format:
```
data_Tb2PmTm6Sc3
_chemical_formula_sum 'Tb4 Pm2 Tm12 Sc6'
_symmetry_space_group_name_H-M 'C 1 2/m 1'
_symmetry_Int_Tables_number 12
_symmetry_space_group_name_Hall '-C 2y'
_cell_length_a 6.009
_cell_length_b 10.404
_cell_length_c 11.407
_cell_angle_alpha 90.00
_cell_angle_beta 100.12
_cell_angle_gamma 90.00
loop_
_atom_site_label
_atom_site_fract_x
_atom_site_fract_y
_atom_site_fract_z
Tb1 0.000 0.167 0.000
Pm1 0.000 0.500 0.000
Tm1 0.246 0.167 0.740
Tm2 0.247 0.500 0.740
Sc1 0.000 0.000 0.500
Sc2 0.000 0.333 0.500
```

Values from the calculation:
Calculated volume   29.25 Å³ per atom
Formation energy from the elements   0.044 eV per atom
Total energy   -4.9418 eV/atom



Here is a geometry-optimized Tb3Pm2Tm6Sc structure from Alexandria. Energies are from PBE.

The structure in CIF format:
```
data_Tb3Pm2Tm6Sc
_chemical_formula_sum 'Tb6 Pm4 Tm12 Sc2'
_symmetry_space_group_name_H-M 'C 1 2/m 1'
_symmetry_Int_Tables_number 12
_symmetry_space_group_name_Hall '-C 2y'
_cell_length_a 6.084
_cell_length_b 10.535
_cell_length_c 11.639
_cell_angle_alpha 90.00
_cell_angle_beta 100.02
_cell_angle_gamma 90.00
loop_
_atom_site_label
_atom_site_fract_x
_atom_site_fract_y
_atom_site_fract_z
Tb1 0.000 0.000 0.000
Tb2 0.000 0.334 0.000
Pm1 0.000 0.166 0.500
Tm1 0.248 0.335 0.749
Tm2 0.248 0.500 0.250
Sc1 0.000 0.500 0.500
```

Values from the calculation:
Calculated volume   30.61 Å³ per atom
Formation energy from the elements   0.027 eV per atom
Total energy   -4.6852 eV/atom



The highest calculated volume belongs to which entry? Tb5PmTm2Sc



total energy of number 1 (TbPm2Tm6Sc3)? -4.9509 eV/atom



What is the calculated volume in the seventh record? 31.61 Å³ per atom